# 1
Computed, not measured: a crystal of ZrW relaxed with PBEsol at the meta-GGA SCAN level of DFT.

Cell lengths 2.835, 2.835, 5.255 Å; angles 90.00, 90.00, 120.00 degrees
Positions (direct):
Zr1 0.000 0.000 0.000
W1 0.333 0.667 0.500

## Properties
The energy relative to the elements comes out at 0.544 eV/atom. Its space-group type is P-6m2 (187). For the calculated total energy, the calculation gives -49.65 eV per atom. The value obtained for the density of states at the Fermi level is 2.41 states/eV/cell. As for the crystal system: hexagonal. The calculation puts the theoretical density at 12488 kg/m³.

=====

# 2
Computed, not measured: a crystal of LaMg2 relaxed with PBEsol at the meta-GGA SCAN level of DFT.

Cell lengths 6.650, 5.176, 9.631 Å; angles 90.00, 90.00, 90.00 degrees
Positions (direct):
La1 0.178 0.250 0.075
La2 0.322 0.750 0.575
La3 0.678 0.250 0.425
La4 0.822 0.750 0.925
Mg1 0.043 0.250 0.726
Mg2 0.165 0.250 0.407
Mg3 0.335 0.750 0.907
Mg4 0.457 0.750 0.226
Mg5 0.543 0.250 0.774
Mg6 0.665 0.250 0.093
Mg7 0.835 0.750 0.593
Mg8 0.957 0.750 0.274

## Properties
The energy relative to the elements comes out at -0.098 eV/atom. Its space-group type is Pnma (62). For the calculated total energy, the calculation gives -17.78 eV per atom. The value obtained for the density of states at the Fermi level is 10.11 states/eV/cell. As for the crystal system: orthorhombic. The calculation puts the theoretical density at 3757 kg/m³.

=====

# 3
Computed, not measured: a crystal of AlRe2Si relaxed with PBEsol at the meta-GGA SCAN level of DFT.

Cell lengths 2.803, 2.803, 24.757 Å; angles 90.00, 90.00, 120.00 degrees
Positions (direct):
Al1 0.000 0.000 0.000
Al2 0.333 0.667 0.667
Al3 0.667 0.333 0.333
Re1 0.000 0.000 0.245
Re2 0.000 0.000 0.755
Re3 0.333 0.667 0.421
Re4 0.333 0.667 0.912
Re5 0.667 0.333 0.088
Re6 0.667 0.333 0.579
Si1 0.000 0.000 0.500
Si2 0.333 0.667 0.167
Si3 0.667 0.333 0.833

## Properties
The energy above the most stable polymorph in this dataset comes out at 152 meV per atom. Its space-group type is R-3m (166). For the calculated total energy, the calculation gives -40.04 eV per atom. The value obtained for the density of states at the Fermi level is 9.42 states/eV/cell. As for the crystal system: trigonal. The calculation puts the theoretical density at 12646 kg/m³.

=====

# 4
Computed, not measured: a crystal of CoW2Au relaxed with PBEsol at the meta-GGA SCAN level of DFT.

Cell lengths 3.828, 3.838, 7.901 Å; angles 90.00, 90.00, 90.00 degrees
Positions (direct):
Co1 0.000 0.000 0.000
Co2 0.500 0.500 0.000
W1 0.000 0.000 0.515
W2 0.000 0.500 0.795
W3 0.500 0.000 0.795
W4 0.500 0.500 0.515
Au1 0.000 0.500 0.247
Au2 0.500 0.000 0.247

## Properties
The energy above the most stable polymorph in this dataset comes out at 0 meV per atom. The energy relative to the elements comes out at 0.314 eV/atom. Its space-group type is Cmm2 (35). For the calculated total energy, the calculation gives -56.15 eV per atom. The value obtained for the density of states at the Fermi level is 7.61 states/eV/cell. As for the crystal system: orthorhombic. The calculation puts the theoretical density at 17841 kg/m³.